## Li2MgMoF6 (PBE+U)

Data for Li2MgMoF6 after structural relaxation.

a b c (Å): 5.301 5.299 5.607
angles (deg): 62.67 63.02 60.08
Each line ends with the local moment (μB).
Fractional coordinates of all 10 atoms:
F1 0.569 0.245 0.266  0.01
F2 0.114 0.392 0.775  0.01
Li1 0.037 0.023 0.914  0.00
F3 0.925 0.573 0.256  0.01
F4 0.394 0.706 0.776  0.00
F5 0.713 0.117 0.778  0.01
F6 0.244 0.928 0.253  0.00
Mo1 0.821 0.820 0.538  1.82
Mg1 0.320 0.318 0.043  0.00
Li2 0.527 0.540 0.417  0.00

E in eV per atom: -5.0992
Fermi-level density of states in states/eV per cell: 0.00
Space-group type: P1, No. 1